The following is a PBE calculation of a relaxed structure of AcHo3Sb2, from the Alexandria database.

abc: 9.6263 9.6263 9.8973
angles: 112.76 112.76 26.53
Fractional coordinates of all 12 atoms:
Ac1 0.1130 0.1130 0.1284
Ac2 0.8870 0.8870 0.8716
Ho1 0.0577 0.0577 0.6724
Ho2 0.3106 0.3106 0.1190
Ho3 0.3616 0.3616 0.5241
Ho4 0.6384 0.6384 0.4759
Ho5 0.6894 0.6894 0.8810
Ho6 0.9423 0.9423 0.3276
Sb1 0.2400 0.2400 0.6989
Sb2 0.4842 0.4842 0.1604
Sb3 0.5158 0.5158 0.8396
Sb4 0.7600 0.7600 0.3011

=====

The following is a PBE calculation of a relaxed structure of AcHoSb, from the Alexandria database.

abc: 6.6492 6.6492 6.6492
angles: 144.24 144.24 51.47
Fractional coordinates of all 3 atoms:
Ac1 0.0000 0.0000 0.0000
Ho1 0.7076 0.7076 0.0000
Sb1 0.3157 0.3157 0.0000

=====

The following is a PBE calculation of a relaxed structure of Ac2HoSb, from the Alexandria database.

abc: 5.2010 5.2010 4.9978
angles: 90.00 90.00 90.00
Fractional coordinates of all 4 atoms:
Ac1 0.0000 0.5000 0.0000
Ac2 0.5000 0.0000 0.0000
Ho1 0.0000 0.0000 0.5000
Sb1 0.5000 0.5000 0.5000

=====

Number 1: DOS(E_F) 11.94 states/eV/cell, uncorrected formation energy -0.66 eV per atom. Number 2: DOS(E_F) 2.57 states/eV/cell, uncorrected formation energy -0.60 eV per atom. Number 3: DOS(E_F) 4.06 states/eV/cell, uncorrected formation energy -0.41 eV per atom.